Record 1
Material: Be2SiBr
Method: DFT, SCAN
State: PBEsol geometry

Structure (POSCAR):
```
Be2SiBr
1.0
-1.2848 1.7070 2.4556
-2.9604 -1.1048 -0.7810
2.9759 -5.4176 3.1660
Br Si Be
1 1 2
direct
0.5000 0.5000 0.0000
0.2500 0.7500 0.5000
0.0000 0.0000 0.0000
0.7500 0.2500 0.5000
```

Properties
The value obtained for the calculated total energy is -0.6398 Ry per atom. The value obtained for the total magnetization is 0.0 μB/f.u. Its space group is I-4m2. As for the energy above the most stable polymorph in this dataset: 0.561 eV/atom. As for the uncorrected formation energy: 3.36 eV per formula unit.

=====

Record 2
Material: BeCrRu
Method: DFT, SCAN
State: PBEsol geometry

Structure (POSCAR):
```
BeCrRu
1.0
2.8443 0.0000 0.0000
0.0000 2.8443 0.0000
-1.4222 -1.4222 4.0299
Cr Ru Be
1 1 1
direct
0.6645 0.6645 0.3289
0.3338 0.3338 0.6676
0.0017 0.0017 0.0035
```

Properties
The value obtained for the calculated total energy is -1.4250 Ry per atom. The value obtained for the total magnetization is 0.0 μB/f.u. Its space group is I4mm. Its formation enthalpy at 0 K is -19 kJ/mol of atoms.

=====

Record 3
Material: Mn2OsBr
Method: DFT, SCAN
State: PBEsol geometry

Structure (POSCAR):
```
Mn2OsBr
1.0
3.6852 0.0000 0.0000
0.0000 3.6852 0.0000
-1.8426 -1.8426 4.3284
Mn Br Os
2 1 1
direct
0.0000 0.0000 0.0000
0.7500 0.2500 0.5000
0.2500 0.7500 0.5000
0.5000 0.5000 0.0000
```

Properties
The value obtained for the calculated total energy is -2.2922 Ry per atom. The value obtained for the total magnetization is 8.1 μB/f.u. Its space group is I-4m2. As for the energy above the most stable polymorph in this dataset: 0.647 eV/atom. As for the uncorrected formation energy: 3.10 eV per formula unit.

=====

Record 4
Material: ErTmZn2
Method: DFT, SCAN
State: PBEsol geometry

Structure (POSCAR):
```
ErTmZn2
1.0
4.9026 0.0000 0.0000
2.4513 4.2457 0.0000
2.4513 1.4152 4.0029
Zn Er Tm
2 1 1
direct
0.2500 0.2500 0.2500
0.7500 0.7500 0.7500
0.5000 0.5000 0.5000
0.0000 0.0000 0.0000
```

Properties
The value obtained for the calculated total energy is -2.4061 Ry per atom. The value obtained for the total magnetization is 0.0 μB/f.u. Its space group is Fm-3m. Its formation enthalpy at 0 K is -42 kJ/mol of atoms.

=====

Record 5
Material: ZnCd2Ag
Method: DFT, SCAN
State: PBEsol geometry

Structure (POSCAR):
```
ZnCd2Ag
1.0
-0.2164 0.1222 -2.9551
0.2931 -4.4623 -0.2059
-5.2238 -0.4286 1.8528
Cd Zn Ag
2 1 1
direct
0.4189 0.5000 0.8377
0.0782 0.0000 0.1564
0.8168 0.0000 0.6336
0.6848 0.5000 0.3696
```

Properties
The value obtained for the calculated total energy is -1.9414 Ry per atom. The value obtained for the total magnetization is 0.0 μB/f.u. Its space group is Amm2. Its formation enthalpy at 0 K is 1 kJ/mol of atoms.

=====

Record 6
Material: BaMg2Sb
Method: DFT, SCAN
State: PBEsol geometry

Structure (POSCAR):
```
BaMg2Sb
1.0
-1.1911 2.7518 1.8948
-2.9063 -0.3511 2.0028
4.7554 -2.2931 9.6394
Mg Sb Ba
2 1 1
direct
0.7533 0.7533 0.7402
0.0114 0.0114 0.9657
0.4902 0.4902 0.5294
0.2451 0.2451 0.2647
```

Properties
The value obtained for the calculated total energy is -1.5930 Ry per atom. The value obtained for the total magnetization is 0.5 μB/f.u. Its space group is R3m. As for the uncorrected formation energy: 0.06 eV per formula unit.

=====

Record 7
Material: NaNb3Os
Method: DFT, SCAN
State: PBEsol geometry

Structure (POSCAR):
```
NaNb3Os
1.0
4.8888 0.0000 0.0000
0.0000 4.8888 0.0000
0.0000 0.0000 4.8888
Nb Os Na
3 1 1
direct
0.0000 0.5000 0.0000
0.0000 0.0000 0.5000
0.5000 0.0000 0.0000
0.0000 0.0000 0.0000
0.5000 0.5000 0.5000
```

Properties
The value obtained for the calculated total energy is -2.5080 Ry per atom. The value obtained for the total magnetization is 0.0 μB/f.u. Its space group is Pm-3m. Its formation enthalpy at 0 K is 94 kJ/mol of atoms.

=====

Record 8
Material: Y3PdPt
Method: DFT, SCAN
State: PBEsol geometry

Structure (POSCAR):
```
Y3PdPt
1.0
5.2804 0.0000 0.0000
0.0000 5.2804 0.0000
0.0000 0.0000 5.2804
Pd Pt Y
1 1 3
direct
0.5000 0.5000 0.5000
0.0000 0.0000 0.0000
0.5000 0.0000 0.0000
0.0000 0.0000 0.5000
0.0000 0.5000 0.0000
```

Properties
The value obtained for the calculated total energy is -2.7735 Ry per atom. The value obtained for the total magnetization is 0.0 μB/f.u. Its space group is Pm-3m. Its formation enthalpy at 0 K is -42 kJ/mol of atoms.

=====

Record 9
Material: CaFe2Ir
Method: DFT, SCAN
State: PBEsol geometry

Structure (POSCAR):
```
CaFe2Ir
1.0
-1.0895 1.9954 1.5090
-3.4353 -1.9815 0.1399
2.2743 -3.6512 4.1340
Fe Ca Ir
2 1 1
direct
0.4733 0.5000 0.2445
0.0934 0.0000 0.0648
0.5231 0.5000 0.7481
0.9102 0.0000 0.4426
```

Properties
The value obtained for the calculated total energy is -2.1354 Ry per atom. The value obtained for the total magnetization is 6.3 μB/f.u. Its space group is Pm. Its formation enthalpy at 0 K is 19 kJ/mol of atoms.

=====

Record 10
Material: Mo2IrPdPb
Method: DFT, SCAN
State: PBEsol geometry

Structure (POSCAR):
```
Mo2IrPdPb
1.0
4.8039 0.0000 0.0000
0.0000 4.9496 0.0000
0.0000 0.0000 4.9496
Pd Mo Ir Pb
1 2 1 1
direct
0.5000 0.5000 0.5000
0.0000 0.0000 0.5000
0.0000 0.5000 0.0000
0.5000 0.0000 0.0000
0.0000 0.0000 0.0000
```

Properties
The value obtained for the calculated total energy is -3.4712 Ry per atom. The value obtained for the total magnetization is 5.5 μB/f.u. Its space group is P4/mmm. Its formation enthalpy at 0 K is 256 kJ/mol of atoms.

=====

Record 11
Material: KTeAs2
Method: DFT, SCAN
State: PBEsol geometry

Structure (POSCAR):
```
KTeAs2
1.0
-1.0984 -0.4526 2.8596
5.1985 0.2818 2.0413
-0.6030 5.9637 0.7123
As K Te
2 1 1
direct
0.0000 0.0000 0.7992
0.0000 0.0000 0.2008
0.5000 0.5000 0.5000
0.0000 0.5000 0.0000
```

Properties
The value obtained for the calculated total energy is -1.5895 Ry per atom. The value obtained for the total magnetization is 0.0 μB/f.u. Its space group is Pmmm. As for the uncorrected formation energy: -0.54 eV per formula unit.

=====

Record 12
Material: CeClO
Method: DFT, SCAN
State: PBEsol geometry

Structure (POSCAR):
```
CeClO
1.0
3.9700 0.0000 0.0000
0.0000 3.9700 0.0000
0.0000 0.0000 6.8142
Ce Cl O
2 2 2
direct
0.0000 0.5000 0.8217
0.5000 0.0000 0.1783
0.0000 0.5000 0.3692
0.5000 0.0000 0.6308
0.5000 0.5000 0.0000
0.0000 0.0000 0.0000
```

Properties
The value obtained for the calculated total energy is -1.6827 Ry per atom. The value obtained for the total magnetization is 1.0 μB/f.u. Its space group is P4/nmm. As for the uncorrected formation energy: -9.91 eV per formula unit.

=====

Record 13
Material: LaZrIr2
Method: DFT, SCAN
State: PBEsol geometry

Structure (POSCAR):
```
LaZrIr2
1.0
-0.6654 -0.8838 2.7484
-0.9819 -4.6274 -1.7258
5.4287 -0.0300 -0.2921
La Ir Zr
1 2 1
direct
0.5231 0.5601 0.0461
0.2796 0.7089 0.5592
0.9715 0.0452 0.9429
0.7259 0.1858 0.4517
```

Properties
The value obtained for the calculated total energy is -4.0080 Ry per atom. The value obtained for the total magnetization is 0.0 μB/f.u. Its space group is Cm. Its formation enthalpy at 0 K is -51 kJ/mol of atoms.

=====

Record 14
Material: SrMgAl2
Method: DFT, SCAN
State: PBEsol geometry

Structure (POSCAR):
```
SrMgAl2
1.0
-3.0186 -1.5968 -0.8618
1.3564 -3.0955 0.9844
-2.6789 1.1390 7.2731
Al Mg Sr
2 1 1
direct
0.5000 0.5000 0.2271
0.0000 0.0000 0.0608
0.0000 0.0000 0.4410
0.5000 0.5000 0.7710
```

Properties
The value obtained for the calculated total energy is -0.7865 Ry per atom. The value obtained for the total magnetization is 0.0 μB/f.u. Its space group is P4mm. Its formation enthalpy at 0 K is -1 kJ/mol of atoms.